{"formula": "Mn2Al2O7", "functional": "PBE with a Hubbard U", "state": "optimized geometry", "lattice_angstrom": [[0.839, -0.195, 2.900], [9.053, -6.025, 1.657], [0.288, 6.252, 1.940]], "species": ["O", "O", "Mn", "O", "O", "O", "O", "Al", "Mn", "O", "Al"], "fractional_positions": [[0.657, 0.769, 0.382], [0.844, 0.310, 0.386], [0.544, 0.386, 0.754], [0.156, 0.690, 0.614], [0.000, 0.000, 0.000], [0.343, 0.231, 0.618], [0.740, 0.545, 0.889], [0.433, 0.808, 0.709], [0.456, 0.614, 0.246], [0.260, 0.455, 0.111], [0.567, 0.192, 0.291]], "crystal_system": "triclinic", "sg": "P-1, No. 2", "final_energy_ev_per_cell": -78.554, "total_magnetization_mub_per_fu": 6.00}